No. 1
## NdNi2Ge2 (PBE)

Data for a geometry-optimized NdNi2Ge2 structure.

Cell: 4.1494 4.1494 9.8891 Å, 90.00 90.00 90.00°
With the nearest neighbours (Å) after each atom.
Space group I4/mmm (No. 139)
Asymmetric unit:
Nd  0.0000  0.0000  0.0000 x2  8 Ge 3.21, 8 Ni 3.23
Ni  0.0000  0.5000  0.2500 x4  4 Ge 2.38
Ge  0.0000  0.0000  0.3680 x4  4 Ni 2.38, 1 Ge 2.61

Results
Raw total energy, eV per atom: -5.8061
Formation enthalpy at 0 K, eV/atom: -0.69



No. 2
## Tm8ZnTe4P3 (PBE)

Data for a geometry-optimized Tm8ZnTe4P3 structure.

Cell: 8.1949 8.1949 20.8078 Å, 90.00 90.00 120.00°
With the nearest neighbours (Å) after each atom.
Space group R-3m (No. 166, hexagonal axes)
Asymmetric unit:
Tm  0.0000  0.0000  0.2358 x6  3 P 2.77
Tm  0.0022  0.5011  0.7617 x18  2 P 2.79, 1 Zn 2.81, 3 Te 3.07-3.09
Zn  0.0000  0.0000  0.5000 x3  6 Tm 2.81
Te  0.0000  0.0000  0.0000 x3  6 Tm 3.07
Te  0.0000  0.5000  0.0000 x9  6 Tm 3.09-3.12
P  0.0000  0.5000  0.5000 x9  6 Tm 2.77-2.79

Results
Raw total energy, eV per atom: -5.4013
Raw formation energy, eV/atom: -1.286



No. 3
## Ba2TlInCu (PBE)

Data for a geometry-optimized Ba2TlInCu structure.

Cell: 6.2343 6.2343 4.9431 Å, 90.00 90.00 90.00°
With the nearest neighbours (Å) after each atom.
Space group P4/mmm (No. 123)
Asymmetric unit:
Ba  0.0000  0.5000  0.0000 x2  2 Cu 3.12
Tl  0.0000  0.0000  0.5000 x1  8 Ba 3.98, 4 In 4.41
In  0.5000  0.5000  0.5000 x1  2 Cu 2.47
Cu  0.5000  0.5000  0.0000 x1  2 In 2.47

Results
Raw total energy, eV per atom: -2.7772
Formation enthalpy at 0 K, eV/atom: -0.17